[1]
Material: Tm4GaNi
Method: DFT, PBE-GGA
State: relaxed

## Properties
- symmetry = P2_1/m, No. 11
- energy above the lowest structure with this stoichiometry (meV/atom) = 0
- energy of formation from the pure elements (meV per atom) = -334
- size of the total moment (μB per cell) = 0.00
- electronic total energy (eV per cell) = -57.40
- Fermi-level density of states (states/eV/f.u.) = 5.016
- crystal system = monoclinic

Cell lengths 5.252, 6.844, 8.866 Å; angles 90.00, 116.16, 90.00 degrees
Fractional coordinates of all 12 atoms:
Tm1 0.578 0.250 0.433
Tm2 0.066 0.992 0.739
Tm3 0.422 0.750 0.567
Tm4 0.934 0.008 0.261
Tm5 0.934 0.492 0.261
Tm6 0.662 0.250 0.880
Tm7 0.338 0.750 0.120
Tm8 0.066 0.508 0.739
Ni1 0.207 0.250 0.554
Ni2 0.793 0.750 0.446
Ga1 0.301 0.250 0.067
Ga2 0.699 0.750 0.933

=====

[2]
Material: TmGa12Ni4
Method: DFT, PBE-GGA
State: relaxed

## Properties
- symmetry = Im-3, No. 204
- energy of formation from the pure elements (meV per atom) = -130
- size of the total moment (μB per cell) = 0.00
- electronic total energy (eV per cell) = -66.12
- Fermi-level density of states (states/eV/f.u.) = 10.919
- crystal system = cubic

Cell lengths 7.384, 7.384, 7.384 Å; angles 109.47, 109.47, 109.47 degrees
Fractional coordinates of all 17 atoms:
Ni1 0.000 0.500 0.000
Ni2 0.500 0.000 0.000
Ni3 0.000 0.000 0.500
Ni4 0.500 0.500 0.500
Ga1 0.169 0.336 0.505
Ga2 0.336 0.167 0.831
Ga3 0.336 0.505 0.169
Ga4 0.169 0.664 0.833
Ga5 0.664 0.833 0.169
Ga6 0.167 0.831 0.336
Ga7 0.664 0.495 0.831
Ga8 0.831 0.664 0.495
Ga9 0.505 0.169 0.336
Ga10 0.833 0.169 0.664
Ga11 0.831 0.336 0.167
Ga12 0.495 0.831 0.664
Tm1 0.000 0.000 0.000

=====

[3]
Material: Tm8Ga2Ni
Method: DFT, PBE-GGA
State: relaxed

## Properties
- symmetry = C2/m, No. 12
- energy of formation from the pure elements (meV per atom) = -282
- size of the total moment (μB per cell) = 0.00
- electronic total energy (eV per cell) = -50.70
- Fermi-level density of states (states/eV/f.u.) = 9.637
- crystal system = monoclinic

Cell lengths 4.862, 6.473, 9.287 Å; angles 100.90, 105.17, 90.00 degrees
Fractional coordinates of all 11 atoms:
Tm1 0.409 0.543 0.819
Tm2 0.978 0.222 0.956
Tm3 0.591 0.457 0.181
Tm4 0.022 0.778 0.044
Tm5 0.210 0.316 0.419
Tm6 0.790 0.684 0.581
Tm7 0.650 0.980 0.299
Tm8 0.350 0.020 0.701
Ni1 0.500 0.000 0.000
Ga1 0.189 0.758 0.378
Ga2 0.811 0.242 0.622